Density functional theory data (PBE with a Hubbard U) for a geometry-optimized BaVSn2F8 structure.

Calculated values
Magnetic moment = 0.250 μB per atom
Electronic total energy = -65.239 eV for the cell shown
Calculated density = 4.4 g cm⁻³

Lattice parameters (Å, degrees): 5.262 5.646 7.332 93.97 90.47 84.91
Site moments in Bohr magnetons follow the coordinates.
Element x y z (fractional)
Ba 0.000 0.000 0.500  0.00
V 0.000 0.000 0.000  2.75
Sn 0.474 0.456 0.778  0.00
Sn 0.526 0.544 0.222  0.00
F 0.292 0.912 0.194  0.00
F 0.826 0.756 0.156  0.00
F 0.868 0.261 0.219  0.00
F 0.708 0.088 0.806  0.00
F 0.174 0.244 0.844  0.00
F 0.132 0.739 0.781  0.00
F 0.618 0.701 0.485  0.00
F 0.382 0.299 0.515  0.00